Below is a crystal of BAuCl2 relaxed with PBEsol, with properties calculated at the SCAN level.

Calculated values
Space-group type   I-42d (122)
ΔE_f (raw)   897 meV/atom
E_tot   -22.238 eV/atom
Calculated volume   21.45 A^3/atom

POSCAR file:
```
BAuCl2
1.0
-2.3609 3.8447 2.0143
0.9792 -1.7622 4.5110
6.7051 2.5921 -3.1488
Cl B Au
4 2 2
Direct
0.6250 0.6068 0.7500
0.3932 0.8750 0.2500
0.8568 0.3750 0.2500
0.1250 0.1432 0.7500
0.5000 0.5000 0.0000
0.7500 0.2500 0.5000
0.0000 0.0000 0.0000
0.2500 0.7500 0.5000
```